The following is a PBE calculation of AcPrS3 after structural relaxation, from the Alexandria database.

Results
Energy relative to the lowest polymorph listed for this composition: 0 meV per atom
Space-group type: No. 62
Size of the total moment: 0.000 Bohr magnetons per cell

a = 4.2360 Å, b = 7.6982 Å, c = 16.0822 Å
α = 90.00°, β = 90.00°, γ = 90.00°
Closest atoms and distances in Å follow each position.
Positions (direct):
Ac (0.2500, 0.6469, 0.2996)  8 S 2.97-3.28
Ac (0.7500, 0.3531, 0.7004)  8 S 2.97-3.28
Ac (0.7500, 0.8531, 0.7996)  8 S 2.97-3.28
Ac (0.2500, 0.1469, 0.2004)  8 S 2.97-3.28
S (0.2500, 0.0131, 0.3941)  3 Pr 2.88-3.07, 1 Ac 3.20
S (0.7500, 0.9869, 0.6059)  3 Pr 2.88-3.07, 1 Ac 3.20
S (0.7500, 0.4869, 0.8941)  3 Pr 2.88-3.07, 1 Ac 3.20
S (0.7500, 0.6277, 0.4388)  3 Pr 2.92-3.05, 2 Ac 3.09, 1 S 3.27
S (0.2500, 0.3723, 0.5612)  3 Pr 2.92-3.05, 2 Ac 3.09, 1 S 3.27
S (0.7500, 0.8531, 0.2162)  1 Pr 2.91, 4 Ac 2.97-3.11
S (0.2500, 0.8723, 0.9388)  3 Pr 2.92-3.05, 2 Ac 3.09, 1 S 3.27
S (0.7500, 0.3531, 0.2838)  1 Pr 2.91, 4 Ac 2.97-3.11
S (0.2500, 0.6469, 0.7162)  1 Pr 2.91, 4 Ac 2.97-3.11
S (0.7500, 0.1277, 0.0612)  3 Pr 2.92-3.05, 2 Ac 3.09, 1 S 3.27
S (0.2500, 0.5131, 0.1059)  3 Pr 2.88-3.07, 1 Ac 3.20
S (0.2500, 0.1469, 0.7838)  1 Pr 2.91, 4 Ac 2.97-3.11
Pr (0.2500, 0.7673, 0.5447)  7 S 2.88-3.07
Pr (0.7500, 0.2327, 0.4553)  7 S 2.88-3.07
Pr (0.2500, 0.2673, 0.9553)  7 S 2.88-3.07
Pr (0.7500, 0.7327, 0.0447)  7 S 2.88-3.07

---

The following is a PBE calculation of Ba3SrIn after structural relaxation, from the Alexandria database.

Results
Energy relative to the lowest polymorph listed for this composition: 174 meV per atom
E_form: 0.001 eV per atom
Space-group type: No. 221
Size of the total moment: 0.473 Bohr magnetons per cell

a = 6.8215 Å, b = 6.8215 Å, c = 6.8215 Å
α = 90.00°, β = 90.00°, γ = 90.00°
Closest atoms and distances in Å follow each position.
Positions (direct):
Ba (0.5000, 0.0000, 0.0000)  2 In 3.41
Ba (0.0000, 0.5000, 0.0000)  2 In 3.41
Ba (0.0000, 0.0000, 0.5000)  2 In 3.41
In (0.0000, 0.0000, 0.0000)  6 Ba 3.41
Sr (0.5000, 0.5000, 0.5000)  12 Ba 4.82

---

The following is a PBE calculation of La2SmY5Er after structural relaxation, from the Alexandria database.

Results
E_form: 0.243 eV per atom
Space-group type: No. 140
Size of the total moment: 0.001 Bohr magnetons per cell

a = 8.6348 Å, b = 8.6348 Å, c = 10.0629 Å
α = 115.41°, β = 115.41°, γ = 90.00°
Closest atoms and distances in Å follow each position.
Positions (direct):
Y (0.8555, 0.9278, 0.2834)  1 La 3.06, 1 Sm 3.13
Y (0.5722, 0.6445, 0.7166)  1 La 3.06, 1 Sm 3.13
Y (0.4278, 0.3555, 0.2834)  1 La 3.06, 1 Sm 3.13
Y (0.5000, 0.5000, 0.0000)  4 La 3.45, 8 Y 3.83
Y (0.3555, 0.8555, 0.2834)  1 La 3.06, 1 Sm 3.13
Y (0.0000, 0.0000, 0.0000)  4 La 3.45, 8 Y 3.83
Y (0.0722, 0.5722, 0.7166)  1 La 3.06, 1 Sm 3.13
Y (0.1445, 0.0722, 0.7166)  1 La 3.06, 1 Sm 3.13
Y (0.6445, 0.1445, 0.7166)  1 La 3.06, 1 Sm 3.13
Y (0.9278, 0.4278, 0.2834)  1 La 3.06, 1 Sm 3.13
La (0.1184, 0.3816, 0.0000)  1 La 2.89, 2 Y 3.06
La (0.8816, 0.6184, 0.0000)  1 La 2.89, 2 Y 3.06
La (0.6184, 0.1184, 0.0000)  1 La 2.89, 2 Y 3.06
La (0.3816, 0.8816, 0.0000)  1 La 2.89, 2 Y 3.06
Sm (0.7500, 0.2500, 0.5000)  4 Y 3.13
Sm (0.2500, 0.7500, 0.5000)  4 Y 3.13
Er (0.2500, 0.2500, 0.5000)  8 Y 3.54
Er (0.7500, 0.7500, 0.5000)  8 Y 3.54

---

The following is a PBE calculation of LiZn3Au3 after structural relaxation, from the Alexandria database.

Results
Energy relative to the lowest polymorph listed for this composition: 0 meV per atom
E_form: -0.272 eV per atom
Space-group type: No. 148
Size of the total moment: 0.000 Bohr magnetons per cell

a = 7.4169 Å, b = 7.4169 Å, c = 6.3834 Å
α = 54.48°, β = 54.48°, γ = 60.00°
Closest atoms and distances in Å follow each position.
Positions (direct):
Li (0.2594, 0.2594, 0.2218)  6 Au 2.71-2.86, 6 Zn 2.82-3.00
Li (0.7406, 0.7406, 0.7782)  6 Au 2.71-2.86, 6 Zn 2.82-3.00
Zn (0.0425, 0.8843, 0.7530)  5 Au 2.68-2.84, 2 Li 2.82-3.00, 5 Zn 2.83-2.94
Zn (0.6798, 0.9575, 0.2470)  5 Au 2.68-2.84, 2 Li 2.82-3.00, 5 Zn 2.83-2.94
Zn (0.9575, 0.1157, 0.2470)  5 Au 2.68-2.84, 2 Li 2.82-3.00, 5 Zn 2.83-2.94
Zn (0.1157, 0.6798, 0.2470)  5 Au 2.68-2.84, 2 Li 2.82-3.00, 5 Zn 2.83-2.94
Zn (0.8843, 0.3202, 0.7530)  5 Au 2.68-2.84, 2 Li 2.82-3.00, 5 Zn 2.83-2.94
Zn (0.3202, 0.0425, 0.7530)  5 Au 2.68-2.84, 2 Li 2.82-3.00, 5 Zn 2.83-2.94
Au (0.8408, 0.5416, 0.2508)  5 Zn 2.68-2.84, 2 Li 2.71-2.86, 3 Au 2.87-2.95
Au (0.3668, 0.8408, 0.2508)  5 Zn 2.68-2.84, 2 Li 2.71-2.86, 3 Au 2.87-2.95
Au (0.4584, 0.6332, 0.7492)  5 Zn 2.68-2.84, 2 Li 2.71-2.86, 3 Au 2.87-2.95
Au (0.5416, 0.3668, 0.2508)  5 Zn 2.68-2.84, 2 Li 2.71-2.86, 3 Au 2.87-2.95
Au (0.6332, 0.1592, 0.7492)  5 Zn 2.68-2.84, 2 Li 2.71-2.86, 3 Au 2.87-2.95
Au (0.1592, 0.4584, 0.7492)  5 Zn 2.68-2.84, 2 Li 2.71-2.86, 3 Au 2.87-2.95